TaTiMn2 | Alexandria | PBE | optimized geometry; magnetization = 2.2 μB per formula unit; energy relative to the elements = 436 meV per atom
1.0
-1.448 -3.325 5.620
-0.777 -5.628 -3.530
1.512 -5.050 1.382
Mn Ti Ta
4 2 2
Direct
0.619 0.125 0.250
0.131 0.625 0.250
0.375 0.381 0.750
0.875 0.869 0.750
0.500 0.500 0.000
0.250 0.750 0.500
0.000 0.000 0.000
0.750 0.250 0.500